*a*
Computed, not measured: a relaxed BaSiAu3 crystal at the GGA-PBE level of DFT.

Geometry as CIF:
```
data_BaSiAu3
_cell_length_a 8.5617
_cell_length_b 8.5617
_cell_length_c 13.0683
_cell_angle_alpha 90.00
_cell_angle_beta 90.00
_cell_angle_gamma 120.00
_symmetry_space_group_name_H-M 'R -3 c'
_symmetry_Int_Tables_number 167
_symmetry_space_group_name_Hall '-R 3 2"c'
loop_
_atom_site_label
_atom_site_type_symbol
_atom_site_fract_x
_atom_site_fract_y
_atom_site_fract_z
Ba1 Ba 0.0000 0.0000 0.0000
Si1 Si 0.0000 0.0000 0.2500
Au1 Au 0.0000 0.2754 0.2500
```

***

*b*
Computed, not measured: a relaxed BaSiAu3 crystal at the GGA-PBE level of DFT.

Geometry as CIF:
```
data_BaSiAu3
_cell_length_a 6.4682
_cell_length_b 11.7248
_cell_length_c 6.3171
_cell_angle_alpha 90.00
_cell_angle_beta 90.00
_cell_angle_gamma 90.00
_symmetry_space_group_name_H-M 'P n m a'
_symmetry_Int_Tables_number 62
loop_
_symmetry_equiv_pos_as_xyz
'x,y,z'
'-x,-y,-z'
'-x+1/2,-y,z+1/2'
'x+1/2,y,-z+1/2'
'x+1/2,-y+1/2,-z+1/2'
'-x+1/2,y+1/2,z+1/2'
'-x,y+1/2,-z'
'x,-y+1/2,z'
loop_
_atom_site_label
_atom_site_type_symbol
_atom_site_fract_x
_atom_site_fract_y
_atom_site_fract_z
Ba1 Ba 0.0000 0.0000 0.0000
Si1 Si 0.2322 0.2500 0.2160
Au1 Au 0.0233 0.1182 0.4633
Au2 Au 0.1944 0.2500 0.8132
```

***

Verdict on stability: *b* comes out on top.

***

*a*
Computed, not measured: a relaxed Ba2SiAu3 crystal at the GGA-PBE level of DFT.

Geometry as CIF:
```
data_Ba2SiAu3
_cell_length_a 4.6096
_cell_length_b 4.6359
_cell_length_c 8.0441
_cell_angle_alpha 90.00
_cell_angle_beta 90.00
_cell_angle_gamma 90.00
_symmetry_space_group_name_H-M 'P m m 2'
_symmetry_Int_Tables_number 25
loop_
_symmetry_equiv_pos_as_xyz
'x,y,z'
'-x,-y,z'
'-x,y,z'
'x,-y,z'
loop_
_atom_site_label
_atom_site_type_symbol
_atom_site_fract_x
_atom_site_fract_y
_atom_site_fract_z
Ba1 Ba 0.0000 0.0000 0.0000
Ba2 Ba 0.0000 0.5000 0.4935
Si1 Si 0.5000 0.5000 0.8078
Au1 Au 0.5000 0.0000 0.3338
Au2 Au 0.5000 0.0000 0.6939
Au3 Au 0.5000 0.5000 0.1217
```

***

*b*
Computed, not measured: a relaxed Ba2SiAu3 crystal at the GGA-PBE level of DFT.

Geometry as CIF:
```
data_Ba2SiAu3
_cell_length_a 9.2533
_cell_length_b 9.2501
_cell_length_c 9.2947
_cell_angle_alpha 90.00
_cell_angle_beta 119.78
_cell_angle_gamma 90.00
_symmetry_space_group_name_H-M 'C 1 2/m 1'
_symmetry_Int_Tables_number 12
loop_
_symmetry_equiv_pos_as_xyz
'x,y,z'
'-x,-y,-z'
'-x,y,-z'
'x,-y,z'
'x+1/2,y+1/2,z'
'-x+1/2,-y+1/2,-z'
'-x+1/2,y+1/2,-z'
'x+1/2,-y+1/2,z'
loop_
_atom_site_label
_atom_site_type_symbol
_atom_site_fract_x
_atom_site_fract_y
_atom_site_fract_z
Ba1 Ba 0.0000 0.2358 0.0000
Ba2 Ba 0.0000 0.2502 0.5000
Si1 Si 0.1656 0.5000 0.3316
Au1 Au 0.1426 0.5000 0.8244
Au2 Au 0.1778 0.0000 0.3560
Au3 Au 0.1814 0.0000 0.8239
```

***

Verdict on stability: *b* comes out on top.

***

*a*
Computed, not measured: a relaxed Ba2SiAu2 crystal at the GGA-PBE level of DFT.

Geometry as CIF:
```
data_Ba2SiAu2
_cell_length_a 3.9698
_cell_length_b 3.9698
_cell_length_c 19.3335
_cell_angle_alpha 90.00
_cell_angle_beta 90.00
_cell_angle_gamma 90.00
_symmetry_space_group_name_H-M 'I 4/m m m'
_symmetry_Int_Tables_number 139
_symmetry_space_group_name_Hall '-I 4 2'
loop_
_atom_site_label
_atom_site_type_symbol
_atom_site_fract_x
_atom_site_fract_y
_atom_site_fract_z
Ba1 Ba 0.0000 0.0000 0.1043
Si1 Si 0.0000 0.0000 0.5000
Au1 Au 0.0000 0.5000 0.2500
```

***

*b*
Computed, not measured: a relaxed Ba2SiAu2 crystal at the GGA-PBE level of DFT.

Geometry as CIF:
```
data_Ba2SiAu2
_cell_length_a 7.9973
_cell_length_b 7.9973
_cell_length_c 4.6581
_cell_angle_alpha 90.00
_cell_angle_beta 90.00
_cell_angle_gamma 90.00
_symmetry_space_group_name_H-M 'P 4/m b m'
_symmetry_Int_Tables_number 127
_symmetry_space_group_name_Hall '-P 4 2ab'
loop_
_atom_site_label
_atom_site_type_symbol
_atom_site_fract_x
_atom_site_fract_y
_atom_site_fract_z
Ba1 Ba 0.1807 0.3193 0.0000
Si1 Si 0.0000 0.0000 0.5000
Au1 Au 0.1276 0.6276 0.5000
```

***

*c*
Computed, not measured: a relaxed Ba2SiAu2 crystal at the GGA-PBE level of DFT.

Geometry as CIF:
```
data_Ba2SiAu2
_cell_length_a 6.4701
_cell_length_b 6.4701
_cell_length_c 7.6737
_cell_angle_alpha 90.00
_cell_angle_beta 90.00
_cell_angle_gamma 90.00
_symmetry_space_group_name_H-M 'I 4/m m m'
_symmetry_Int_Tables_number 139
_symmetry_space_group_name_Hall '-I 4 2'
loop_
_atom_site_label
_atom_site_type_symbol
_atom_site_fract_x
_atom_site_fract_y
_atom_site_fract_z
Ba1 Ba 0.0000 0.5000 0.2500
Si1 Si 0.0000 0.0000 0.0000
Au1 Au 0.0000 0.0000 0.3251
```

***

Verdict on stability: *c* comes out on top.

***

*a*
Computed, not measured: a relaxed BaSnAu4 crystal at the GGA-PBE level of DFT.

Geometry as CIF:
```
data_BaSnAu4
_cell_length_a 8.2428
_cell_length_b 8.2428
_cell_length_c 8.2428
_cell_angle_alpha 90.00
_cell_angle_beta 90.00
_cell_angle_gamma 90.00
_symmetry_space_group_name_H-M 'F -4 3 m'
_symmetry_Int_Tables_number 216
_symmetry_space_group_name_Hall 'F -4 2 3'
loop_
_atom_site_label
_atom_site_type_symbol
_atom_site_fract_x
_atom_site_fract_y
_atom_site_fract_z
Ba1 Ba 0.0000 0.0000 0.0000
Sn1 Sn 0.2500 0.2500 0.7500
Au1 Au 0.1244 0.1244 0.3756
```

***

*b*
Computed, not measured: a relaxed BaSnAu4 crystal at the GGA-PBE level of DFT.

Geometry as CIF:
```
data_BaSnAu4
_cell_length_a 5.4109
_cell_length_b 16.0326
_cell_length_c 7.2441
_cell_angle_alpha 90.00
_cell_angle_beta 90.00
_cell_angle_gamma 90.00
_symmetry_space_group_name_H-M 'C m c m'
_symmetry_Int_Tables_number 63
_symmetry_space_group_name_Hall '-C 2c 2'
loop_
_atom_site_label
_atom_site_type_symbol
_atom_site_fract_x
_atom_site_fract_y
_atom_site_fract_z
Ba1 Ba 0.0000 0.1049 0.2500
Sn1 Sn 0.0000 0.3697 0.2500
Au1 Au 0.0000 0.1088 0.7500
Au2 Au 0.0000 0.2700 0.5581
Au3 Au 0.0000 0.5000 0.0000
```

***

*c*
Computed, not measured: a relaxed BaSnAu4 crystal at the GGA-PBE level of DFT.

Geometry as CIF:
```
data_BaSnAu4
_cell_length_a 11.0873
_cell_length_b 7.9515
_cell_length_c 7.1444
_cell_angle_alpha 90.00
_cell_angle_beta 108.12
_cell_angle_gamma 90.00
_symmetry_space_group_name_H-M 'C 1 2/m 1'
_symmetry_Int_Tables_number 12
loop_
_symmetry_equiv_pos_as_xyz
'x,y,z'
'-x,-y,-z'
'-x,y,-z'
'x,-y,z'
'x+1/2,y+1/2,z'
'-x+1/2,-y+1/2,-z'
'-x+1/2,y+1/2,-z'
'x+1/2,-y+1/2,z'
loop_
_atom_site_label
_atom_site_type_symbol
_atom_site_fract_x
_atom_site_fract_y
_atom_site_fract_z
Ba1 Ba 0.1652 0.0000 0.2713
Sn1 Sn 0.0958 0.5000 0.2560
Au1 Au 0.0000 0.2602 0.5000
Au2 Au 0.1205 0.3057 0.9203
Au3 Au 0.1536 0.0000 0.7531
```

***

Verdict on stability: *c* comes out on top.